(1)
Here is a geometry-optimized BiHPb structure from Alexandria. Energies are from PBE.

abc: 4.8050 7.1758 7.4429
angles: 39.47 111.38 106.38
Atoms (fractional coordinates):
Bi1 0.8994 0.3085 0.8011
Bi2 0.1006 0.6915 0.1989
H1 0.4649 0.7991 0.3363
H2 0.5351 0.2009 0.6637
Pb1 0.6764 0.1774 0.2480
Pb2 0.3236 0.8226 0.7520

crystal system	triclinic
magnetization	0.00	μB/atom
space-group type	P-1, No. 2
offset from the most stable computed form	0.0	meV per atom

(2)
Here is a geometry-optimized Be2CrCo5W2 structure from Alexandria. Energies are from PBE.

abc: 2.8675 8.7658 8.7658
angles: 90.00 90.00 90.00
Atoms (fractional coordinates):
Be1 0.0000 0.1212 0.6212
Be2 0.0000 0.8788 0.3788
Be3 0.0000 0.6212 0.8788
Be4 0.0000 0.3788 0.1212
Cr1 0.0000 0.0000 0.0000
Cr2 0.0000 0.5000 0.5000
Co1 0.5000 0.2092 0.0622
Co2 0.5000 0.7908 0.9378
Co3 0.5000 0.0622 0.7908
Co4 0.5000 0.7092 0.4378
Co5 0.5000 0.9378 0.2092
Co6 0.5000 0.2908 0.5622
Co7 0.5000 0.5622 0.7092
Co8 0.5000 0.4378 0.2908
Co9 0.5000 0.5000 0.0000
Co10 0.5000 0.0000 0.5000
W1 0.0000 0.6775 0.1775
W2 0.0000 0.3225 0.8225
W3 0.0000 0.1775 0.3225
W4 0.0000 0.8225 0.6775

crystal system	tetragonal
magnetization	0.54	μB/atom
space-group type	P4/mbm, No. 127
VASP energy	-157.8	eV for the cell shown

(3)
Here is a geometry-optimized GaCu3S structure from Alexandria. Energies are from PBE.

abc: 4.4240 4.4240 4.4240
angles: 90.00 90.00 90.00
Atoms (fractional coordinates):
S1 0.0000 0.0000 0.0000
Cu1 0.0000 0.5000 0.0000
Cu2 0.0000 0.0000 0.5000
Cu3 0.5000 0.0000 0.0000
Ga1 0.5000 0.5000 0.5000

crystal system	cubic
magnetization	0.00	μB/atom
space-group type	Pm-3m, No. 221
offset from the most stable computed form	0.0	meV per atom

(4)
Here is a geometry-optimized LaSmAs structure from Alexandria. Energies are from PBE.

abc: 6.8244 4.1245 4.1245
angles: 120.00 90.00 90.00
Atoms (fractional coordinates):
As1 0.0063 0.0000 0.0000
Sm1 0.2517 0.3333 0.6667
La1 0.7420 0.6667 0.3333

crystal system	trigonal
magnetization	0.39	μB/atom
space-group type	P3m1, No. 156
VASP energy	-16.9	eV for the cell shown

(5)
Here is a geometry-optimized Li4In3Pd structure from Alexandria. Energies are from PBE.

abc: 4.6254 2.9964 11.6676
angles: 103.95 101.43 90.00
Atoms (fractional coordinates):
Li1 0.4032 0.3132 0.8065
Li2 0.5968 0.6868 0.1935
Li3 0.7173 0.9438 0.4346
Li4 0.2827 0.0562 0.5654
In1 0.0000 0.5000 0.0000
In2 0.1589 0.3202 0.3178
In3 0.8411 0.6798 0.6822
Pd1 0.5000 0.0000 0.0000

crystal system	monoclinic
magnetization	0.00	μB/atom
space-group type	C2/m, No. 12
VASP energy	-23.5	eV for the cell shown

(6)
Here is a geometry-optimized CdTe2Mo structure from Alexandria. Energies are from PBE.

abc: 3.1949 3.1949 11.0239
angles: 90.00 90.00 115.25
Atoms (fractional coordinates):
Cd1 0.5000 0.5000 0.2500
Mo1 0.5000 0.5000 0.7500
Te1 0.0000 0.0000 0.9463
Te2 0.0000 0.0000 0.5537

crystal system	orthorhombic
magnetization	0.00	μB/atom
space-group type	Cmmm, No. 65
VASP energy	-16.7	eV for the cell shown

(7)
Here is a geometry-optimized Rb3SmCl6 structure from Alexandria. Energies are from PBE.

abc: 7.8605 8.2936 11.2141
angles: 90.00 88.97 90.00
Atoms (fractional coordinates):
Rb1 0.5261 0.9317 0.7572
Rb2 0.5000 0.5000 0.0000
Rb3 0.4739 0.0683 0.2428
Rb4 0.0261 0.5683 0.2572
Rb5 0.0000 0.0000 0.5000
Rb6 0.9739 0.4317 0.7428
Sm1 0.5000 0.5000 0.5000
Sm2 0.0000 0.0000 0.0000
Cl1 0.7229 0.1789 0.9458
Cl2 0.6675 0.2309 0.5754
Cl3 0.6245 0.4444 0.2759
Cl4 0.3755 0.5556 0.7241
Cl5 0.3325 0.7691 0.4246
Cl6 0.2771 0.8211 0.0542
Cl7 0.2229 0.3211 0.4458
Cl8 0.1675 0.2691 0.0754
Cl9 0.1245 0.0556 0.7759
Cl10 0.8755 0.9444 0.2241
Cl11 0.8325 0.7309 0.9246
Cl12 0.7771 0.6789 0.5542

crystal system	monoclinic
magnetization	0.00	μB/atom
space-group type	P2_1/c, No. 14
VASP energy	-80.1	eV for the cell shown

(8)
Here is a geometry-optimized VCo2Re structure from Alexandria. Energies are from PBE.

abc: 4.1578 4.1578 4.1578
angles: 60.00 60.00 60.00
Atoms (fractional coordinates):
Re1 0.5000 0.5000 0.5000
Co1 0.2500 0.2500 0.2500
Co2 0.7500 0.7500 0.7500
V1 0.0000 0.0000 0.0000

crystal system	cubic
magnetization	1.20	μB/atom
space-group type	Fm-3m, No. 225
offset from the most stable computed form	254.4	meV per atom